# 1
4
Lattice="3.274 0.000 0.000 0.000 4.801 0.000 -1.637 -2.400 4.763" Properties=species:S:1:pos:R:3 comment="meta-GGA SCAN Sc2TaTc, single point on PBEsol structure" e_above_lowest_polymorph_mev_per_atom=28.3 delta_e_f_ev_per_atom=-0.19 pbc="T T T"
Sc 1.637 2.400 4.476
Sc 1.637 0.000 2.418
Tc 0.000 2.400 2.253
Ta 1.637 2.400 0.378

# 2
5
Lattice="-1.961 -0.914 -4.092 2.802 -3.647 -0.528 -3.119 -2.701 2.098" Properties=species:S:1:pos:R:3 comment="meta-GGA SCAN YGaS3, single point on PBEsol structure" raw_formation_energy_ev_per_atom=-0.9278 e_above_lowest_polymorph_mev_per_atom=0.0 pbc="T T T"
S 1.401 -1.823 -0.264
S -0.981 -0.457 -2.046
S -1.560 -1.350 1.049
Ga 0.000 0.000 0.000
Y -1.139 -3.631 -1.261

# 3
15
Lattice="5.718 -0.096 -0.087 -2.654 5.065 0.087 -2.562 -1.849 7.810" Properties=species:S:1:pos:R:3 comment="meta-GGA SCAN KMn2Mo2O10, single point on PBEsol structure" raw_formation_energy_ev_per_atom=-2.0529 pbc="T T T"
O -4.186 2.581 7.081
O 2.764 -0.038 6.108
O 0.309 -0.191 7.186
O -0.156 0.096 3.519
O 1.880 0.507 1.615
O 4.687 0.539 0.729
O -2.263 3.157 1.701
O 0.192 3.311 0.624
O 0.657 3.024 4.290
O -1.379 2.613 6.195
Mo 0.258 -0.159 1.883
Mo 0.244 3.279 5.927
K -2.608 1.608 3.948
Mn -1.327 2.533 0.043
Mn 2.859 -0.048 -0.043

# 4
5
Lattice="-0.513 -0.734 -3.620 -3.238 -1.668 0.797 -3.019 5.529 -0.693" Properties=species:S:1:pos:R:3 comment="meta-GGA SCAN PtRhIN2, single point on PBEsol structure" raw_formation_energy_ev_per_atom=1.2122 e_above_lowest_polymorph_mev_per_atom=0.0 pbc="T T T"
Rh 0.000 0.000 0.000
Pt -3.385 1.564 -1.758
N -1.619 -0.834 0.399
N -0.257 -0.367 -1.810
I -1.509 2.765 -0.346

# 5
31
Lattice="6.625 0.000 0.000 -3.313 5.745 -0.005 0.000 -0.020 9.906" Properties=species:S:1:pos:R:3 comment="meta-GGA SCAN Ni19Ge12, single point on PBEsol structure" delta_e_f_ev_per_atom=-0.33 pbc="T T T"
Ni 1.164 1.954 3.730
Ni 6.610 0.003 2.532
Ni -2.148 3.771 6.171
Ni 2.181 -0.010 4.953
Ni 1.097 1.845 8.657
Ni -2.216 3.880 1.244
Ni 1.048 5.683 8.654
Ni 2.187 3.800 -0.001
Ni 4.361 0.042 1.247
Ni 3.298 5.722 7.370
Ni 5.500 1.925 9.902
Ni 3.311 1.894 7.408
Ni 1.150 1.843 1.243
Ni 4.405 0.101 3.735
Ni -0.002 3.831 2.493
Ni 4.342 3.728 3.725
Ni 1.092 5.624 6.166
Ni -2.163 3.881 8.658
Ni 1.029 1.996 6.176
Ge 0.159 0.000 0.000
Ge 5.300 1.926 2.478
Ge -1.004 5.543 7.412
Ge 6.477 -0.010 4.953
Ge 0.034 3.713 4.931
Ge 2.309 0.181 2.489
Ge 1.987 3.798 7.423
Ge -1.004 2.085 7.424
Ge 2.308 3.640 2.477
Ge 3.192 1.690 9.895
Ge -0.121 4.035 0.006
Ge 3.347 2.012 4.970

# 6
52
Lattice="8.749 0.000 0.000 1.273 9.382 0.004 -1.273 -0.008 9.382" Properties=species:S:1:pos:R:3 comment="meta-GGA SCAN BaGa2Si2O8, single point on PBEsol structure" raw_formation_energy_ev_per_atom=-2.7776 pbc="T T T"
Ba 7.354 8.783 5.294
Ba 1.396 0.592 4.092
Ba 2.979 4.091 0.597
Ba 5.770 5.283 8.789
O 0.178 8.829 7.702
O 3.015 7.090 4.500
O 4.351 0.780 7.642
O 1.275 5.131 2.956
O 8.176 6.029 8.053
O 2.944 6.907 0.226
O 8.773 7.642 0.789
O 3.802 1.329 3.347
O 1.360 4.491 7.095
O 4.196 7.691 8.839
O 5.047 5.935 1.250
O 8.077 1.243 5.936
O 5.649 6.425 4.251
O 5.734 2.285 4.886
O 4.553 1.684 0.547
O 3.703 3.440 8.136
O 1.431 0.217 6.907
O 4.194 5.508 6.363
O 7.474 4.244 6.430
O 0.181 6.356 5.515
O -0.024 1.733 8.596
O 0.672 8.132 3.450
O 5.805 2.468 9.160
O 8.571 0.545 1.684
O 4.947 8.046 6.038
O 8.568 3.019 3.870
O 7.389 4.884 2.291
O 7.318 9.157 2.479
O 4.399 8.594 1.743
O 3.100 2.949 5.134
O 4.555 3.867 3.023
O 0.573 3.346 1.333
Ga 7.421 2.842 5.295
Ga 0.093 7.497 8.937
Ga 8.656 1.877 0.449
Ga 4.281 8.927 7.509
Ga 3.047 4.083 6.537
Ga 4.468 0.447 1.877
Ga 5.702 5.292 2.849
Ga 1.328 6.532 4.091
Si 4.351 2.669 4.114
Si 4.438 7.361 0.687
Si -0.063 0.678 7.362
Si 4.311 2.013 8.699
Si 8.813 8.696 2.024
Si -0.023 5.263 6.712
Si 8.773 4.111 2.674
Si 4.398 6.705 5.271

Number 1: total moment 0.00 μB per cell. Number 2: total moment 0.00 μB per cell. Number 3: total moment 7.00 μB per cell. Number 4: total moment 0.00 μB per cell. Number 5: total moment 0.00 μB per cell. Number 6: total moment 0.00 μB per cell.